Entry 1:
Here is a relaxed TbCeDy4Er2 crystal from the Alexandria database. Energies are from PBE-GGA.

```
TbCeDy4Er2
1.0
4.9968 0.0000 0.0000
0.0000 4.9968 0.0000
0.0000 0.0000 9.9911
Tb Ce Dy Er
1 1 4 2
Cartesian
0.0000 0.0000 0.0000
2.4984 2.4984 4.9955
0.0000 2.4984 2.5076
0.0000 2.4984 7.4835
2.4984 0.0000 2.5076
2.4984 0.0000 7.4835
0.0000 0.0000 4.9955
2.4984 2.4984 0.0000
```

Properties
formation energy = 0.352 eV/f.u.

Entry 2:
Here is a relaxed SiAgP3 crystal from the Alexandria database. Energies are from PBE-GGA.

```
SiAgP3
1.0
4.5285 0.0000 0.0000
0.0000 4.5285 0.0000
0.0000 0.0000 4.5285
Si Ag P
1 1 3
Cartesian
0.0000 0.0000 0.0000
2.2642 2.2642 2.2642
0.0000 0.0000 2.2642
0.0000 2.2642 0.0000
2.2642 0.0000 0.0000
```

Properties
ΔE_f (raw) = 4.015 eV/f.u.
excess energy over the best structure of this formula in the dataset = 0.00 kcal/mol of atoms

Entry 3:
Here is a relaxed Sm3Ag2Au crystal from the Alexandria database. Energies are from PBE-GGA.

```
Sm3Ag2Au
1.0
5.2340 0.0000 0.0000
-2.6170 4.5328 0.0000
0.0000 0.0000 6.3991
Sm Ag Au
3 2 1
Cartesian
0.0000 0.0000 0.0000
0.0000 3.0218 4.2065
2.6170 1.5109 2.1927
0.0000 3.0218 0.9588
2.6170 1.5109 5.4404
0.0000 0.0000 3.1996
```

Properties
formation energy = -2.747 eV/f.u.

Entry 4:
Here is a relaxed GdLuCuHg crystal from the Alexandria database. Energies are from PBE-GGA.

```
GdLuCuHg
1.0
7.1958 0.0000 0.0000
0.0000 7.1958 0.0000
0.0000 0.0000 7.1958
Gd Lu Cu Hg
4 4 4 4
Cartesian
0.0000 0.0000 0.0000
0.0000 3.5979 3.5979
3.5979 0.0000 3.5979
3.5979 3.5979 0.0000
0.0000 0.0000 3.5979
0.0000 3.5979 0.0000
3.5979 0.0000 0.0000
3.5979 3.5979 3.5979
1.7990 1.7990 1.7990
1.7990 5.3969 5.3969
5.3969 1.7990 5.3969
5.3969 5.3969 1.7990
1.7990 1.7990 5.3969
1.7990 5.3969 1.7990
5.3969 1.7990 1.7990
5.3969 5.3969 5.3969
```

Properties
formation energy = -1.311 eV/f.u.

Entry 5:
Here is a relaxed DyMnCo2 crystal from the Alexandria database. Energies are from PBE-GGA.

```
DyMnCo2
1.0
4.0132 0.0000 0.0000
-2.0066 3.4755 0.0000
0.0000 0.0000 14.1282
Dy Mn Co
3 3 6
Cartesian
0.0000 0.0000 0.0000
0.0000 2.3170 9.4188
2.0066 1.1585 4.7094
0.0000 0.0000 7.0641
0.0000 2.3170 2.3547
2.0066 1.1585 11.7735
0.0000 0.0000 2.7669
0.0000 0.0000 11.3613
0.0000 2.3170 6.6519
0.0000 2.3170 12.1857
2.0066 1.1585 1.9425
2.0066 1.1585 7.4763
```

Properties
formation energy = -0.144 eV/f.u.
excess energy over the best structure of this formula in the dataset = 0.00 kcal/mol of atoms

Entry 6:
Here is a relaxed AlBrCl2 crystal from the Alexandria database. Energies are from PBE-GGA.

```
AlBrCl2
1.0
6.5244 0.0000 0.0000
0.0000 3.4045 0.0000
-3.1883 0.0000 5.9059
Al Br Cl
1 1 2
Cartesian
0.0000 0.0000 0.0000
0.6851 1.7022 1.6875
1.2300 0.0000 5.8692
3.9546 1.7022 4.3928
```

Properties
ΔE_f (raw) = -5.157 eV/f.u.
excess energy over the best structure of this formula in the dataset = 1.26 kcal/mol of atoms

Entry 7:
Here is a relaxed PrNd4In4 crystal from the Alexandria database. Energies are from PBE-GGA.

```
PrNd4In4
1.0
9.2741 0.0000 0.0000
0.0000 9.2741 0.0000
0.0000 0.0000 6.3375
Pr Nd In
2 8 8
Cartesian
2.3185 2.3185 1.5844
6.9556 6.9556 4.7531
0.7448 7.6265 3.9511
1.6476 5.3818 0.7824
2.9894 8.5294 0.7824
3.8923 6.2847 3.9511
5.3818 2.9894 2.3864
6.2847 0.7448 5.5552
7.6265 3.8923 5.5552
8.5294 1.6476 2.3864
0.4286 1.3771 5.4427
1.3771 4.2085 4.0636
3.2599 0.4286 4.0636
4.2085 3.2599 5.4427
5.0657 6.0142 0.8948
6.0142 8.8455 2.2739
7.8970 5.0657 2.2739
8.8455 7.8970 0.8948
```

Properties
formation energy = -2.569 eV/f.u.

Entry 8:
Here is a relaxed FeHg3Ir crystal from the Alexandria database. Energies are from PBE-GGA.

```
FeHg3Ir
1.0
5.2314 0.0000 0.0000
0.0000 5.2314 0.0000
0.0000 0.0000 5.2314
Fe Hg Ir
1 3 1
Cartesian
0.0000 0.0000 0.0000
0.0000 2.6157 2.6157
2.6157 0.0000 2.6157
2.6157 2.6157 0.0000
2.6157 2.6157 2.6157
```

Properties
formation energy = 5.220 eV/f.u.
excess energy over the best structure of this formula in the dataset = 0.00 kcal/mol of atoms

Entry 9:
Here is a relaxed SbOs2W crystal from the Alexandria database. Energies are from PBE-GGA.

```
SbOs2W
1.0
3.0558 0.0000 0.0000
0.0000 4.6276 0.0000
0.0000 0.0000 9.1574
Sb Os W
2 4 2
Cartesian
0.0000 0.0000 0.0000
1.5279 2.3138 4.5787
0.0000 2.3138 2.4313
0.0000 2.3138 6.7262
1.5279 0.0000 2.1475
1.5279 0.0000 7.0100
0.0000 0.0000 4.5787
1.5279 2.3138 0.0000
```

Properties
ΔE_f (raw) = 2.447 eV/f.u.

Entry 10:
Here is a relaxed Tm6Ga2Bi crystal from the Alexandria database. Energies are from PBE-GGA.

```
Tm6Ga2Bi
1.0
-4.7244 4.7848 5.3059
4.7244 -4.7848 5.3059
4.7244 4.7848 -5.3059
Tm Ga Bi
12 4 2
Cartesian
4.7244 -2.8750 3.3887
2.7688 0.0000 2.5664
6.6800 0.0000 2.5664
2.9715 2.6705 0.0000
6.4772 2.6705 0.0000
0.0000 1.9098 1.9172
4.7244 2.8750 3.3887
-1.7529 2.1143 5.3059
1.7529 2.1143 5.3059
-1.9556 4.7848 2.7396
1.9556 4.7848 2.7396
0.0000 7.6598 1.9172
1.3638 0.0000 0.0000
8.0850 0.0000 0.0000
0.0000 0.0000 4.0394
0.0000 0.0000 6.5724
4.7244 0.0000 0.0000
0.0000 4.7848 0.0000
```

Properties
formation energy = -3.953 eV/f.u.

Entry 11:
Here is a relaxed RbTaGeTe crystal from the Alexandria database. Energies are from PBE-GGA.

```
RbTaGeTe
1.0
3.7292 0.0000 0.0000
0.0017 3.7298 0.0000
1.6504 1.5983 8.6318
Rb Ta Ge Te
1 1 1 1
Cartesian
0.0000 0.0000 0.0000
3.5170 3.4641 3.6169
1.6546 1.6026 3.2987
3.5138 3.4604 6.1933
```

Properties
ΔE_f (raw) = -0.064 eV/f.u.
excess energy over the best structure of this formula in the dataset = 2.77 kcal/mol of atoms

no.,total magnetization (μB/f.u.)
1,0.9
2,0.0
3,0.0
4,7.2
5,3.7
6,0.0
7,0.0
8,4.0
9,0.0
10,0.0
11,0.0